Record 1
## Zn3Ga3PdRh2 (PBE)

Data for a relaxed structure of Zn3Ga3PdRh2.

Cell: 7.2539 7.2539 2.9559 Å, 90.00 90.00 120.00°
Atoms (fractional coordinates):
1 Zn 0.0000 0.2897 0.0000
2 Zn 0.2897 0.0000 0.0000
3 Zn 0.7103 0.7103 0.0000
4 Ga 0.0000 0.6181 0.5000
5 Ga 0.3819 0.3819 0.5000
6 Ga 0.6181 0.0000 0.5000
7 Pd 0.0000 0.0000 0.5000
8 Rh 0.3333 0.6667 0.0000
9 Rh 0.6667 0.3333 0.0000

Calculated values
total magnetic moment	0.00	μB per formula unit
DFT total energy	-0.2953	Ry per atom
formation enthalpy at 0 K	-374	meV per atom
D(E_F)	0.443	states/eV per atom
ρ	8.85	Mg/m³


Record 2
## CsK2TaCl8 (PBE)

Data for a relaxed structure of CsK2TaCl8.

Cell: 6.0445 7.5438 10.0150 Å, 89.76 89.47 71.07°
Atoms (fractional coordinates):
1 Cs 0.0000 0.0000 0.0000
2 K 0.4848 0.4970 0.2244
3 K 0.5152 0.5030 0.7756
4 Ta 0.0000 0.0000 0.5000
5 Cl 0.0868 0.1886 0.6673
6 Cl 0.0900 0.1880 0.3311
7 Cl 0.3928 0.7951 0.4996
8 Cl 0.4029 0.2758 0.9947
9 Cl 0.5971 0.7242 0.0053
10 Cl 0.6072 0.2049 0.5004
11 Cl 0.9100 0.8120 0.6689
12 Cl 0.9132 0.8114 0.3327

Calculated values
total magnetic moment	0.00	μB per formula unit
formation energy (no corrections)	-1.622	eV per atom
DFT total energy	-0.3010	Ry per atom
ρ	2.60	Mg/m³


Record 3
## LaBi2O5 (PBE)

Data for a relaxed structure of LaBi2O5.

Cell: 6.5292 6.5292 10.8937 Å, 90.00 90.00 142.80°
Atoms (fractional coordinates):
1 La 0.1033 0.8967 0.7500
2 La 0.8967 0.1033 0.2500
3 Bi 0.3645 0.6355 0.5546
4 Bi 0.3645 0.6355 0.9454
5 Bi 0.6355 0.3645 0.0546
6 Bi 0.6355 0.3645 0.4454
7 O 0.1659 0.8341 0.5210
8 O 0.1659 0.8341 0.9790
9 O 0.2951 0.7049 0.7500
10 O 0.4596 0.5404 0.1310
11 O 0.4596 0.5404 0.3690
12 O 0.5404 0.4596 0.6310
13 O 0.5404 0.4596 0.8690
14 O 0.7049 0.2951 0.2500
15 O 0.8341 0.1659 0.0210
16 O 0.8341 0.1659 0.4790

Calculated values
relative energy among the computed polymorphs	0	meV per atom
total magnetic moment	0.00	μB per formula unit
formation energy (no corrections)	-1.780	eV per atom
DFT total energy	-0.4751	Ry per atom
D(E_F)	0.309	states/eV per atom
ρ	7.53	Mg/m³


Record 4
## Sm4SnSe2 (PBE)

Data for a relaxed structure of Sm4SnSe2.

Cell: 8.1229 8.1229 9.4713 Å, 125.58 125.58 69.07°
Atoms (fractional coordinates):
1 Sm 0.1929 0.8059 0.9325
2 Sm 0.1941 0.8071 0.5675
3 Sm 0.2610 0.3721 0.0669
4 Sm 0.3721 0.2610 0.5669
5 Sm 0.6279 0.7390 0.4331
6 Sm 0.7390 0.6279 0.9331
7 Sm 0.8059 0.1929 0.4325
8 Sm 0.8071 0.1941 0.0675
9 Sn 0.1255 0.8745 0.2500
10 Sn 0.8745 0.1255 0.7500
11 Se 0.0000 0.5000 0.5000
12 Se 0.5000 0.0000 0.0000
13 Se 0.5000 0.5000 0.0000
14 Se 0.5000 0.5000 0.5000

Calculated values
relative energy among the computed polymorphs	63	meV per atom
total magnetic moment	0.00	μB per formula unit
formation energy (no corrections)	-1.217	eV per atom
DFT total energy	-0.4028	Ry per atom
D(E_F)	0.782	states/eV per atom
ρ	7.06	Mg/m³


Record 5
## Mg3Sn3Hg (PBE)

Data for a relaxed structure of Mg3Sn3Hg.

Cell: 8.0537 8.0537 8.0537 Å, 90.00 90.00 90.00°
Atoms (fractional coordinates):
1 Mg 0.0000 0.2500 0.5000
2 Mg 0.0000 0.7500 0.5000
3 Mg 0.2500 0.5000 0.0000
4 Mg 0.5000 0.0000 0.2500
5 Mg 0.5000 0.0000 0.7500
6 Mg 0.7500 0.5000 0.0000
7 Sn 0.0000 0.5000 0.2500
8 Sn 0.0000 0.5000 0.7500
9 Sn 0.2500 0.0000 0.5000
10 Sn 0.5000 0.2500 0.0000
11 Sn 0.5000 0.7500 0.0000
12 Sn 0.7500 0.0000 0.5000
13 Hg 0.0000 0.0000 0.0000
14 Hg 0.5000 0.5000 0.5000

Calculated values
total magnetic moment	0.00	μB per formula unit
DFT total energy	-0.1493	Ry per atom
formation enthalpy at 0 K	410	meV per atom
D(E_F)	0.657	states/eV per atom
ρ	4.00	Mg/m³


Record 6
## Be2InSe (PBE)

Data for a relaxed structure of Be2InSe.

Cell: 4.4633 3.4925 5.0539 Å, 90.00 97.84 90.00°
Atoms (fractional coordinates):
1 Be 0.0000 0.0000 0.0000
2 Be 0.2906 0.5000 0.2006
3 In 0.2191 0.0000 0.5695
4 Se 0.7213 0.5000 0.0211

Calculated values
relative energy among the computed polymorphs	0	meV per atom
total magnetic moment	0.00	μB per formula unit
formation energy (no corrections)	0.149	eV per atom
DFT total energy	-0.2403	Ry per atom
D(E_F)	0.243	states/eV per atom
ρ	4.51	Mg/m³